No. 1
Compound: Pu2VRu
Source: the Alexandria database
Functional: PBE
Structure: optimized geometry

The space group is P4/mmm (No. 123) and the conventional cell measures 3.5012, 3.5012 and 5.2180 Å, with angles of 90.00, 90.00 and 90.00 degrees. The distinct sites, in fractional coordinates, are Pu at (0.0000, 0.5000, 0.0000), V at (0.0000, 0.0000, 0.5000) and Ru at (0.5000, 0.5000, 0.5000).

The size of the total moment comes out at 0.001 μB per atom. As for the distance to the lowest polymorph of the same formula: 0 meV per atom. The total DFT energy (no corrections) comes out at -11.457 eV/atom.



No. 2
Compound: Pu2VRu
Source: the Alexandria database
Functional: PBE
Structure: optimized geometry

The space group is R-3m (No. 166, hexagonal axes) and the conventional cell measures 2.8699, 2.8699 and 29.8246 Å, with angles of 90.00, 90.00 and 120.00 degrees. The distinct sites, in fractional coordinates, are Pu at (0.0000, 0.0000, 0.0857), V at (0.0000, 0.0000, 0.0000) and Ru at (0.0000, 0.0000, 0.5000).

The size of the total moment comes out at 1.661 μB per atom. As for the distance to the lowest polymorph of the same formula: 179 meV per atom. The total DFT energy (no corrections) comes out at -11.278 eV/atom.



No. 3
Compound: PuV2Ru
Source: the Alexandria database
Functional: PBE
Structure: optimized geometry

The space group is Fm-3m (No. 225) and the conventional cell measures 6.2662, 6.2662 and 6.2662 Å, with angles of 90.00, 90.00 and 90.00 degrees. The distinct sites, in fractional coordinates, are Pu at (0.0000, 0.0000, 0.0000), V at (0.2500, 0.2500, 0.2500) and Ru at (0.0000, 0.0000, 0.5000).

The size of the total moment comes out at 1.112 μB per atom. As for the distance to the lowest polymorph of the same formula: 79 meV per atom. The total DFT energy (no corrections) comes out at -10.343 eV/atom.



No. 4
Compound: PuV2Ru
Source: the Alexandria database
Functional: PBE
Structure: optimized geometry

The space group is P4/mmm (No. 123) and the conventional cell measures 4.5416, 4.5416 and 2.9663 Å, with angles of 90.00, 90.00 and 90.00 degrees. The distinct sites, in fractional coordinates, are Pu at (0.0000, 0.0000, 0.0000), V at (0.0000, 0.5000, 0.5000) and Ru at (0.5000, 0.5000, 0.0000).

The size of the total moment comes out at 1.088 μB per atom. As for the distance to the lowest polymorph of the same formula: 53 meV per atom. The total DFT energy (no corrections) comes out at -10.369 eV/atom.



No. 5
Compound: PuV2Ru
Source: the Alexandria database
Functional: PBE
Structure: optimized geometry

The space group is P4/mmm (No. 123) and the conventional cell measures 2.9525, 2.9525 and 7.3430 Å, with angles of 90.00, 90.00 and 90.00 degrees. The distinct sites, in fractional coordinates, are Pu at (0.0000, 0.0000, 0.0000), V at (0.5000, 0.5000, 0.2892) and Ru at (0.0000, 0.0000, 0.5000).

The size of the total moment comes out at 0.830 μB per atom. As for the distance to the lowest polymorph of the same formula: 0 meV per atom. The total DFT energy (no corrections) comes out at -10.421 eV/atom.



No. 6
Compound: Pu6VRu5
Source: the Alexandria database
Functional: PBE
Structure: optimized geometry

The space group is P-1 (No. 2) and the conventional cell measures 4.7781, 6.9345 and 7.9065 Å, with angles of 113.68, 104.26 and 91.04 degrees. The distinct sites, in fractional coordinates, are Pu at (0.0150, 0.2553, 0.0225), Pu at (0.3499, 0.5753, 0.6411), Pu at (0.3604, 0.0784, 0.6596), V at (0.5000, 0.5000, 0.0000), Ru at (0.1035, 0.1333, 0.3130), Ru at (0.1151, 0.6702, 0.2985) and Ru at (0.5000, 0.0000, 0.0000).

The size of the total moment comes out at 0.453 μB per atom. The total DFT energy (no corrections) comes out at -11.767 eV/atom.